1.
First-principles (PBE-GGA) data for crystalline Pr2DyHo4Tm at its relaxed geometry, as listed in the Alexandria database.

Summary:
For the magnetic moment, the calculation gives 3.2 Bohr magnetons per cell. For the formation energy, the calculation gives 3.4 eV per formula unit.

Cell lengths 9.506, 9.506, 11.827 Å; angles 128.47, 128.47, 88.29 degrees
Each line ends with the local moment (μB).
Sites, in units of the cell vectors:
Ho  0.255  0.743  0.499  0.15
Ho  0.745  0.257  0.501  0.15
Ho  0.249  0.252  0.006  0.16
Ho  0.757  0.245  0.001  0.15
Ho  0.243  0.755  0.999  0.15
Ho  0.752  0.749  0.506  0.16
Ho  0.248  0.251  0.494  0.16
Ho  0.751  0.748  0.994  0.16
Pr  0.500  0.500  0.000  0.13
Pr  0.500  0.000  0.500  0.16
Pr  0.000  0.000  0.500  0.13
Pr  0.500  0.000  0.000  0.16
Dy  0.000  0.500  0.000  0.13
Dy  0.000  0.500  0.500  0.13
Tm  0.500  0.500  0.500  0.12
Tm  0.000  0.000  0.000  0.12

---

2.
First-principles (PBE-GGA) data for crystalline PrDy4Ho2Tm at its relaxed geometry, as listed in the Alexandria database.

Summary:
For the magnetic moment, the calculation gives 5.2 Bohr magnetons per cell. For the formation energy, the calculation gives 3.5 eV per formula unit.

Cell lengths 9.472, 9.472, 11.746 Å; angles 128.32, 128.32, 88.56 degrees
Each line ends with the local moment (μB).
Sites, in units of the cell vectors:
Ho  0.000  0.000  0.500  0.28
Ho  0.500  0.500  0.000  0.28
Ho  0.500  0.000  0.500  0.20
Ho  0.500  0.000  0.000  0.20
Dy  0.250  0.753  0.002  0.24
Dy  0.750  0.247  0.998  0.24
Dy  0.747  0.250  0.498  0.24
Dy  0.252  0.248  0.001  0.26
Dy  0.748  0.752  0.999  0.26
Dy  0.252  0.248  0.499  0.26
Dy  0.253  0.750  0.502  0.24
Dy  0.748  0.752  0.501  0.26
Tm  0.000  0.000  0.000  0.26
Tm  0.500  0.500  0.500  0.26
Pr  0.000  0.500  0.500  0.22
Pr  0.000  0.500  0.000  0.22

---

3.
First-principles (PBE-GGA) data for crystalline Pr2DyHo2Tm at its relaxed geometry, as listed in the Alexandria database.

Summary:
For the magnetic moment, the calculation gives 0.0 Bohr magnetons per cell. For the formation energy, the calculation gives 0.4 eV per formula unit.

Cell lengths 5.656, 7.024, 9.804 Å; angles 90.00, 90.00, 90.00 degrees
Sites, in units of the cell vectors:
Ho  0.000  0.758  0.165
Ho  0.500  0.758  0.667
Ho  0.000  0.258  0.835
Ho  0.500  0.258  0.333
Pr  0.000  0.258  0.179
Pr  0.500  0.508  0.000
Pr  0.500  0.008  0.000
Pr  0.000  0.758  0.821
Dy  0.500  0.258  0.657
Dy  0.500  0.758  0.343
Tm  0.000  0.508  0.500
Tm  0.000  0.008  0.500

---

4.
First-principles (PBE-GGA) data for crystalline PrDy6Ho3Tm2 at its relaxed geometry, as listed in the Alexandria database.

Summary:
For the magnetic moment, the calculation gives 0.0 Bohr magnetons per cell. For the formation energy, the calculation gives 0.2 eV per formula unit.

Cell lengths 6.129, 6.129, 11.748 Å; angles 94.96, 94.96, 119.95 degrees
Sites, in units of the cell vectors:
Tm  0.333  0.667  0.000
Tm  0.667  0.333  0.000
Dy  0.581  0.916  0.749
Dy  0.250  0.250  0.749
Dy  0.419  0.084  0.251
Dy  0.084  0.419  0.251
Dy  0.750  0.750  0.251
Dy  0.916  0.581  0.749
Ho  0.167  0.833  0.500
Ho  0.500  0.500  0.500
Ho  0.833  0.167  0.500
Pr  0.000  0.000  0.000

---

5.
First-principles (PBE-GGA) data for crystalline Pr3Dy6HoTm2 at its relaxed geometry, as listed in the Alexandria database.

Summary:
For the magnetic moment, the calculation gives 0.0 Bohr magnetons per cell. For the formation energy, the calculation gives 0.3 eV per formula unit.

Cell lengths 6.197, 6.197, 11.830 Å; angles 95.00, 95.00, 119.98 degrees
Sites, in units of the cell vectors:
Dy  0.585  0.918  0.756
Dy  0.082  0.415  0.244
Dy  0.415  0.082  0.244
Dy  0.748  0.748  0.244
Dy  0.918  0.585  0.756
Dy  0.252  0.252  0.756
Ho  0.000  0.000  0.000
Pr  0.833  0.167  0.500
Pr  0.500  0.500  0.500
Pr  0.167  0.833  0.500
Tm  0.667  0.333  0.000
Tm  0.333  0.667  0.000

---

6.
First-principles (PBE-GGA) data for crystalline Pr2Dy2HoTm at its relaxed geometry, as listed in the Alexandria database.

Summary:
For the magnetic moment, the calculation gives 0.0 Bohr magnetons per cell. For the formation energy, the calculation gives 0.4 eV per formula unit.

Cell lengths 5.659, 7.030, 9.813 Å; angles 90.00, 90.00, 90.00 degrees
Sites, in units of the cell vectors:
Dy  0.500  0.258  0.333
Dy  0.000  0.757  0.164
Dy  0.500  0.758  0.667
Dy  0.000  0.257  0.836
Pr  0.000  0.757  0.821
Pr  0.000  0.257  0.179
Pr  0.500  0.508  0.000
Pr  0.500  0.008  0.000
Ho  0.500  0.758  0.342
Ho  0.500  0.258  0.658
Tm  0.000  0.008  0.500
Tm  0.000  0.508  0.500

---

7.
First-principles (PBE-GGA) data for crystalline Pr3DyHoTm at its relaxed geometry, as listed in the Alexandria database.

Summary:
For the magnetic moment, the calculation gives 0.0 Bohr magnetons per cell. For the formation energy, the calculation gives 0.1 eV per formula unit.

Cell lengths 5.104, 8.098, 10.239 Å; angles 90.00, 90.00, 108.37 degrees
Sites, in units of the cell vectors:
Pr  0.665  0.330  0.499
Pr  0.166  0.332  0.750
Pr  0.335  0.670  0.501
Pr  0.665  0.330  0.001
Pr  0.834  0.668  0.250
Pr  0.335  0.670  0.999
Ho  0.498  0.996  0.750
Ho  0.502  0.004  0.250
Dy  0.000  0.000  0.000
Dy  0.000  0.000  0.500
Tm  0.836  0.671  0.750
Tm  0.164  0.329  0.250

---

8.
First-principles (PBE-GGA) data for crystalline Pr6DyHoTm2 at its relaxed geometry, as listed in the Alexandria database.

Summary:
For the magnetic moment, the calculation gives 0.0 Bohr magnetons per cell. For the formation energy, the calculation gives 1.2 eV per formula unit.

Cell lengths 9.668, 8.981, 8.981 Å; angles 117.51, 93.89, 93.89 degrees
Sites, in units of the cell vectors:
Pr  0.554  0.764  0.114
Pr  0.883  0.294  0.512
Pr  0.946  0.886  0.236
Pr  0.688  0.006  0.563
Pr  0.054  0.114  0.764
Pr  0.383  0.512  0.294
Pr  0.312  0.994  0.437
Pr  0.812  0.437  0.994
Pr  0.617  0.488  0.706
Pr  0.446  0.236  0.886
Pr  0.117  0.706  0.488
Pr  0.188  0.563  0.006
Tm  0.547  0.200  0.296
Tm  0.953  0.704  0.800
Tm  0.453  0.800  0.704
Tm  0.047  0.296  0.200
Ho  0.250  0.412  0.588
Ho  0.750  0.588  0.412
Dy  0.250  0.971  0.029
Dy  0.750  0.029  0.971

---

9.
First-principles (PBE-GGA) data for crystalline PrDy2Ho3Tm6 at its relaxed geometry, as listed in the Alexandria database.

Summary:
For the magnetic moment, the calculation gives 0.0 Bohr magnetons per cell. For the formation energy, the calculation gives 0.3 eV per formula unit.

Cell lengths 6.103, 6.103, 11.656 Å; angles 95.00, 95.00, 119.95 degrees
Sites, in units of the cell vectors:
Ho  0.167  0.833  0.500
Ho  0.500  0.500  0.500
Ho  0.833  0.167  0.500
Dy  0.333  0.667  0.000
Dy  0.667  0.333  0.000
Tm  0.750  0.750  0.252
Tm  0.582  0.916  0.748
Tm  0.916  0.582  0.748
Tm  0.418  0.084  0.252
Tm  0.250  0.250  0.748
Tm  0.084  0.418  0.252
Pr  0.000  0.000  0.000

---

10.
First-principles (PBE-GGA) data for crystalline PrDy6Ho2Tm at its relaxed geometry, as listed in the Alexandria database.

Summary:
For the magnetic moment, the calculation gives 0.0 Bohr magnetons per cell. For the formation energy, the calculation gives 1.2 eV per formula unit.

Cell lengths 9.486, 8.771, 8.771 Å; angles 117.56, 93.41, 93.41 degrees
Sites, in units of the cell vectors:
Dy  0.382  0.510  0.292
Dy  0.618  0.490  0.708
Dy  0.184  0.564  0.015
Dy  0.316  0.985  0.436
Dy  0.943  0.876  0.248
Dy  0.557  0.752  0.124
Dy  0.443  0.248  0.876
Dy  0.882  0.292  0.510
Dy  0.057  0.124  0.752
Dy  0.816  0.436  0.985
Dy  0.684  0.015  0.564
Dy  0.118  0.708  0.490
Ho  0.453  0.799  0.694
Ho  0.047  0.306  0.201
Ho  0.953  0.694  0.799
Ho  0.547  0.201  0.306
Tm  0.250  0.410  0.590
Tm  0.750  0.590  0.410
Pr  0.750  0.026  0.974
Pr  0.250  0.974  0.026